! Sr2ScRh PBE-GGA optimized geometry; values from VASP
! total magnetic moment: 0.000 μB per atom
! space-group type: No. 65
! energy above the lowest structure with this stoichiometry: 1.99 eV per formula unit
! energy relative to the elements: 233 meV per atom
&SYSTEM
  ibrav = 0, nat = 4, ntyp = 3
/
ATOMIC_SPECIES
Sc 44.96 Sc.upf
Sr 87.62 Sr.upf
Rh 102.91 Rh.upf
ATOMIC_POSITIONS crystal
Sc 0.0000 0.5000 0.5000
Sr 0.0000 0.0000 0.0000
Sr 0.5000 0.5000 0.0000
Rh 0.5000 0.0000 0.5000
CELL_PARAMETERS angstrom
4.9092 -0.0293 0.0043
0.0233 4.9093 0.0043
-0.0068 -0.0067 4.6504